one:
Here is a geometry-optimized Pr6Nd3Y2 structure from the Alexandria database. Energies are from GGA-PBE.

## Properties
space group = R-3m

Structure (CIF):
```
data_Pr6Nd3Y2
_chemical_formula_sum 'Pr6 Nd3 Y2'
_cell_length_a 3.6816
_cell_length_b 3.6816
_cell_length_c 33.1084
_cell_angle_alpha 86.81
_cell_angle_beta 86.81
_cell_angle_gamma 60.00
_symmetry_space_group_name_H-M 'P 1'
_symmetry_Int_Tables_number 1
loop_
_symmetry_equiv_pos_as_xyz
'x,y,z'
loop_
_atom_site_label
_atom_site_type_symbol
_atom_site_fract_x
_atom_site_fract_y
_atom_site_fract_z
Nd1 Nd 0.7277 0.7277 0.8169
Y1 Y 0.4547 0.4547 0.6360
Pr1 Pr 0.6361 0.6361 0.0917
Nd2 Nd 0.2723 0.2723 0.1831
Pr2 Pr 0.0916 0.0916 0.7251
Pr3 Pr 0.3639 0.3639 0.9083
Nd3 Nd 0.0000 0.0000 0.0000
Pr4 Pr 0.8178 0.8178 0.5465
Y2 Y 0.5453 0.5453 0.3640
Pr5 Pr 0.1822 0.1822 0.4535
Pr6 Pr 0.9084 0.9084 0.2749
```

two:
Here is a geometry-optimized Pr6Nd3Y2 structure from the Alexandria database. Energies are from GGA-PBE.

## Properties
space group = I4/mmm

Structure (CIF):
```
data_Pr6Nd3Y2
_chemical_formula_sum 'Pr6 Nd3 Y2'
_cell_length_a 4.8356
_cell_length_b 4.8356
_cell_length_c 17.6619
_cell_angle_alpha 97.87
_cell_angle_beta 97.87
_cell_angle_gamma 90.00
_symmetry_space_group_name_H-M 'P 1'
_symmetry_Int_Tables_number 1
loop_
_symmetry_equiv_pos_as_xyz
'x,y,z'
loop_
_atom_site_label
_atom_site_type_symbol
_atom_site_fract_x
_atom_site_fract_y
_atom_site_fract_z
Pr1 Pr 0.3802 0.8802 0.7604
Nd1 Nd 0.0000 0.0000 0.0000
Pr2 Pr 0.2946 0.2946 0.5893
Nd2 Nd 0.8047 0.8047 0.6095
Pr3 Pr 0.8802 0.3802 0.7604
Pr4 Pr 0.6198 0.1198 0.2396
Y1 Y 0.5450 0.5450 0.0900
Y2 Y 0.4550 0.4550 0.9100
Pr5 Pr 0.1198 0.6198 0.2396
Nd3 Nd 0.1953 0.1953 0.3905
Pr6 Pr 0.7054 0.7054 0.4107
```

If we sort the structures by their calculated energies, the order from most to least stable is one, two.

one:
Here is a geometry-optimized Pr5Nd12Y2 structure from the Alexandria database. Energies are from GGA-PBE.

## Properties
space group = C2/m

Structure (CIF):
```
data_Pr5Nd12Y2
_chemical_formula_sum 'Pr5 Nd12 Y2'
_cell_length_a 8.0866
_cell_length_b 9.6017
_cell_length_c 9.6017
_cell_angle_alpha 66.33
_cell_angle_beta 88.75
_cell_angle_gamma 88.75
_symmetry_space_group_name_H-M 'P 1'
_symmetry_Int_Tables_number 1
loop_
_symmetry_equiv_pos_as_xyz
'x,y,z'
loop_
_atom_site_label
_atom_site_type_symbol
_atom_site_fract_x
_atom_site_fract_y
_atom_site_fract_z
Pr1 Pr 0.5000 0.0000 0.0000
Pr2 Pr 0.4821 0.7549 0.7549
Nd1 Nd 0.2048 0.4211 0.9620
Nd2 Nd 0.6103 0.3815 0.8295
Nd3 Nd 0.1145 0.8524 0.8524
Nd4 Nd 0.3897 0.6185 0.1705
Nd5 Nd 0.2048 0.9620 0.4211
Nd6 Nd 0.7077 0.4491 0.4491
Nd7 Nd 0.2923 0.5509 0.5509
Pr3 Pr 0.5179 0.2451 0.2451
Pr4 Pr 0.9203 0.6497 0.6497
Nd8 Nd 0.8855 0.1476 0.1476
Y1 Y 0.0000 0.2437 0.7563
Nd9 Nd 0.7952 0.0380 0.5789
Nd10 Nd 0.3897 0.1705 0.6185
Nd11 Nd 0.6103 0.8295 0.3815
Nd12 Nd 0.7952 0.5789 0.0380
Pr5 Pr 0.0797 0.3503 0.3503
Y2 Y 0.0000 0.7563 0.2437
```

two:
Here is a geometry-optimized Pr5Nd12Y2 structure from the Alexandria database. Energies are from GGA-PBE.

## Properties
space group = C2/m

Structure (CIF):
```
data_Pr5Nd12Y2
_chemical_formula_sum 'Pr5 Nd12 Y2'
_cell_length_a 7.2075
_cell_length_b 10.0953
_cell_length_c 10.7236
_cell_angle_alpha 70.36
_cell_angle_beta 90.00
_cell_angle_gamma 110.91
_symmetry_space_group_name_H-M 'P 1'
_symmetry_Int_Tables_number 1
loop_
_symmetry_equiv_pos_as_xyz
'x,y,z'
loop_
_atom_site_label
_atom_site_type_symbol
_atom_site_fract_x
_atom_site_fract_y
_atom_site_fract_z
Nd1 Nd 0.5006 0.0012 0.6767
Nd2 Nd 0.5935 0.6813 0.8689
Pr1 Pr 0.6745 0.3491 0.7898
Nd3 Nd 0.0857 0.6666 0.5245
Nd4 Nd 0.4191 0.3334 0.4755
Y1 Y 0.2733 0.0000 0.0000
Nd5 Nd 0.9735 0.9470 0.2475
Nd6 Nd 0.5809 0.6666 0.5245
Pr2 Pr 0.1861 0.3723 0.8152
Pr3 Pr 0.8139 0.6277 0.1848
Pr4 Pr 0.3255 0.6509 0.2102
Nd7 Nd 0.4065 0.3187 0.1311
Pr5 Pr 0.0000 0.0000 0.5000
Nd8 Nd 0.0878 0.6813 0.8689
Y2 Y 0.7267 0.0000 0.0000
Nd9 Nd 0.9143 0.3334 0.4755
Nd10 Nd 0.4994 0.9988 0.3233
Nd11 Nd 0.9122 0.3187 0.1311
Nd12 Nd 0.0265 0.0530 0.7525
```

If we sort the structures by their calculated energies, the order from most to least stable is one, two.

one:
Here is a geometry-optimized Pr4Nd2Y structure from the Alexandria database. Energies are from GGA-PBE.

## Properties
space group = Cc

Structure (CIF):
```
data_Pr4Nd2Y
_chemical_formula_sum 'Pr8 Nd4 Y2'
_cell_length_a 12.7825
_cell_length_b 12.7825
_cell_length_c 6.9554
_cell_angle_alpha 97.00
_cell_angle_beta 97.00
_cell_angle_gamma 150.13
_symmetry_space_group_name_H-M 'P 1'
_symmetry_Int_Tables_number 1
loop_
_symmetry_equiv_pos_as_xyz
'x,y,z'
loop_
_atom_site_label
_atom_site_type_symbol
_atom_site_fract_x
_atom_site_fract_y
_atom_site_fract_z
Nd1 Nd 0.6292 0.3067 0.4545
Y1 Y 0.4182 0.6681 0.4998
Pr1 Pr 0.7196 0.1823 0.8759
Pr2 Pr 0.7952 0.1851 0.4011
Pr3 Pr 0.0349 0.1446 0.5995
Y2 Y 0.6681 0.4182 0.9998
Nd2 Nd 0.3067 0.6292 0.9545
Pr4 Pr 0.1446 0.0349 0.0995
Pr5 Pr 0.1851 0.7952 0.9011
Pr6 Pr 0.5570 0.5945 0.1254
Pr7 Pr 0.5945 0.5570 0.6254
Pr8 Pr 0.1823 0.7196 0.3759
Nd3 Nd 0.1019 0.9240 0.5454
Nd4 Nd 0.9240 0.1019 0.0454
```

two:
Here is a geometry-optimized Pr4Nd2Y structure from the Alexandria database. Energies are from GGA-PBE.

## Properties
space group = R-3m

Structure (CIF):
```
data_Pr4Nd2Y
_chemical_formula_sum 'Pr4 Nd2 Y1'
_cell_length_a 3.6900
_cell_length_b 3.6900
_cell_length_c 21.1121
_cell_angle_alpha 84.99
_cell_angle_beta 84.99
_cell_angle_gamma 60.00
_symmetry_space_group_name_H-M 'P 1'
_symmetry_Int_Tables_number 1
loop_
_symmetry_equiv_pos_as_xyz
'x,y,z'
loop_
_atom_site_label
_atom_site_type_symbol
_atom_site_fract_x
_atom_site_fract_y
_atom_site_fract_z
Pr1 Pr 0.7134 0.7134 0.8599
Pr2 Pr 0.2866 0.2866 0.1401
Pr3 Pr 0.1425 0.1425 0.5724
Nd1 Nd 0.4280 0.4280 0.7161
Nd2 Nd 0.5720 0.5720 0.2839
Pr4 Pr 0.8575 0.8575 0.4276
Y1 Y 0.0000 0.0000 0.0000
```

If we sort the structures by their calculated energies, the order from most to least stable is two, one.

one:
Here is a geometry-optimized Pr2Nd3Y4 structure from the Alexandria database. Energies are from GGA-PBE.

## Properties
space group = C2/c

Structure (CIF):
```
data_Pr2Nd3Y4
_chemical_formula_sum 'Pr4 Nd6 Y8'
_cell_length_a 6.2069
_cell_length_b 11.4134
_cell_length_c 11.4134
_cell_angle_alpha 62.86
_cell_angle_beta 63.29
_cell_angle_gamma 63.29
_symmetry_space_group_name_H-M 'P 1'
_symmetry_Int_Tables_number 1
loop_
_symmetry_equiv_pos_as_xyz
'x,y,z'
loop_
_atom_site_label
_atom_site_type_symbol
_atom_site_fract_x
_atom_site_fract_y
_atom_site_fract_z
Nd1 Nd 0.2356 0.9824 0.6908
Nd2 Nd 0.7644 0.0176 0.3092
Nd3 Nd 0.7500 0.3701 0.6299
Nd4 Nd 0.2644 0.3092 0.0176
Nd5 Nd 0.7356 0.6908 0.9824
Y1 Y 0.4023 0.6166 0.8436
Y2 Y 0.5977 0.3834 0.1564
Y3 Y 0.0797 0.8277 0.0547
Y4 Y 0.9203 0.1723 0.9453
Pr1 Pr 0.9334 0.5190 0.2602
Pr2 Pr 0.4334 0.2602 0.5190
Y5 Y 0.5797 0.0547 0.8277
Y6 Y 0.4203 0.9453 0.1723
Y7 Y 0.9023 0.8436 0.6166
Nd6 Nd 0.2500 0.6299 0.3701
Pr3 Pr 0.0666 0.4810 0.7398
Pr4 Pr 0.5666 0.7398 0.4810
Y8 Y 0.0977 0.1564 0.3834
```

two:
Here is a geometry-optimized Pr2Nd3Y4 structure from the Alexandria database. Energies are from GGA-PBE.

## Properties
space group = C2/m

Structure (CIF):
```
data_Pr2Nd3Y4
_chemical_formula_sum 'Pr2 Nd3 Y4'
_cell_length_a 5.0410
_cell_length_b 6.1692
_cell_length_c 12.2098
_cell_angle_alpha 68.69
_cell_angle_beta 78.09
_cell_angle_gamma 65.89
_symmetry_space_group_name_H-M 'P 1'
_symmetry_Int_Tables_number 1
loop_
_symmetry_equiv_pos_as_xyz
'x,y,z'
loop_
_atom_site_label
_atom_site_type_symbol
_atom_site_fract_x
_atom_site_fract_y
_atom_site_fract_z
Pr1 Pr 0.1589 0.2608 0.4214
Nd1 Nd 0.0000 0.0000 0.0000
Nd2 Nd 0.4362 0.3543 0.7734
Y1 Y 0.2808 0.3385 0.0998
Nd3 Nd 0.5638 0.6457 0.2266
Y2 Y 0.8578 0.0045 0.2799
Y3 Y 0.1422 0.9955 0.7201
Pr2 Pr 0.8411 0.7392 0.5786
Y4 Y 0.7192 0.6615 0.9002
```

If we sort the structures by their calculated energies, the order from most to least stable is one, two.